1.
Entry from the Alexandria database: an optimized crystal structure of LaGeHAu (PBE).

The structure in CIF format:
```
data_LaGeHAu
_symmetry_space_group_name_H-M 'P 3 m 1'
_symmetry_Int_Tables_number 156
_cell_length_a 4.5019
_cell_length_b 4.5019
_cell_length_c 4.2004
_cell_angle_alpha 90.00
_cell_angle_beta 90.00
_cell_angle_gamma 120.00
loop_
_symmetry_equiv_pos_as_xyz
'x,y,z'
'-y,x-y,z'
'-x+y,-x,z'
'-y,-x,z'
'-x+y,y,z'
'x,x-y,z'
loop_
_atom_site_label
_atom_site_type_symbol
_atom_site_fract_x
_atom_site_fract_y
_atom_site_fract_z
_atom_site_occupancy
La1 La 0.0000 0.0000 0.0000 1
Ge1 Ge 0.6667 0.3333 0.5474 1
H1 H 0.3333 0.6667 0.0333 1
Au1 Au 0.3333 0.6667 0.4727 1
```

The total energy is -4.6781 eV per atom.

=====

2.
Entry from the Alexandria database: an optimized crystal structure of Zr3Ti2 (PBE).

The structure in CIF format:
```
data_Zr3Ti2
_symmetry_space_group_name_H-M 'C 1 2/c 1'
_symmetry_Int_Tables_number 15
_cell_length_a 10.394
_cell_length_b 5.393
_cell_length_c 7.958
_cell_angle_alpha 90.00
_cell_angle_beta 109.75
_cell_angle_gamma 90.00
loop_
_symmetry_equiv_pos_as_xyz
'x,y,z'
'-x,-y,-z'
'-x,y,-z+1/2'
'x,-y,z+1/2'
'x+1/2,y+1/2,z'
'-x+1/2,-y+1/2,-z'
'-x+1/2,y+1/2,-z+1/2'
'x+1/2,-y+1/2,z+1/2'
loop_
_atom_site_label
_atom_site_type_symbol
_atom_site_fract_x
_atom_site_fract_y
_atom_site_fract_z
_atom_site_occupancy
Zr1 Zr 0.000 0.201 0.250 1
Zr2 Zr 0.188 0.168 0.646 1
Ti1 Ti 0.107 0.340 0.958 1
```

As for the formation energy: 0.041 eV/atom. The total energy is -8.2462 eV per atom.

=====

3.
Entry from the Alexandria database: an optimized crystal structure of Tb2DyTh5 (PBE).

The structure in CIF format:
```
data_Tb2DyTh5
_symmetry_space_group_name_H-M 'P b a m'
_symmetry_Int_Tables_number 55
_cell_length_a 7.140
_cell_length_b 14.316
_cell_length_c 5.036
_cell_angle_alpha 90.00
_cell_angle_beta 90.00
_cell_angle_gamma 90.00
loop_
_symmetry_equiv_pos_as_xyz
'x,y,z'
'-x,-y,-z'
'-x,-y,z'
'x,y,-z'
'x+1/2,-y+1/2,-z'
'-x+1/2,y+1/2,z'
'-x+1/2,y+1/2,-z'
'x+1/2,-y+1/2,z'
loop_
_atom_site_label
_atom_site_type_symbol
_atom_site_fract_x
_atom_site_fract_y
_atom_site_fract_z
_atom_site_occupancy
Tb1 Tb 0.250 0.126 0.000 1
Dy1 Dy 0.000 0.000 0.500 1
Th1 Th 0.000 0.500 0.500 1
Th2 Th 0.001 0.749 0.500 1
Th3 Th 0.245 0.373 0.000 1
```

As for the formation energy: 0.058 eV/atom. The total energy is -6.3126 eV per atom.

=====

4.
Entry from the Alexandria database: an optimized crystal structure of Sc2RhBr (PBE).

The structure in CIF format:
```
data_Sc2RhBr
_symmetry_space_group_name_H-M 'F m -3 m'
_symmetry_Int_Tables_number 225
_symmetry_space_group_name_Hall '-F 4 2 3'
_cell_length_a 6.761
_cell_length_b 6.761
_cell_length_c 6.761
_cell_angle_alpha 90.00
_cell_angle_beta 90.00
_cell_angle_gamma 90.00
loop_
_atom_site_label
_atom_site_type_symbol
_atom_site_fract_x
_atom_site_fract_y
_atom_site_fract_z
_atom_site_occupancy
Sc1 Sc 0.250 0.250 0.250 1
Rh1 Rh 0.000 0.000 0.000 1
Br1 Br 0.000 0.000 0.500 1
```

The calculation puts the raw formation energy at -1.92 eV/f.u. The distance to the lowest polymorph of the same formula is 445 meV per atom. The total energy is -5.9022 eV per atom.

=====

5.
Entry from the Alexandria database: an optimized crystal structure of PrTh2As3 (PBE).

The structure in CIF format:
```
data_PrTh2As3
_symmetry_space_group_name_H-M 'I m m m'
_symmetry_Int_Tables_number 71
_symmetry_space_group_name_Hall '-I 2 2'
_cell_length_a 4.264
_cell_length_b 6.029
_cell_length_c 12.837
_cell_angle_alpha 90.00
_cell_angle_beta 90.00
_cell_angle_gamma 90.00
loop_
_atom_site_label
_atom_site_type_symbol
_atom_site_fract_x
_atom_site_fract_y
_atom_site_fract_z
_atom_site_occupancy
Pr1 Pr 0.000 0.000 0.000 1
Th1 Th 0.000 0.000 0.335 1
As1 As 0.000 0.500 0.000 1
As2 As 0.000 0.500 0.330 1
```

As for the formation energy: -1.448 eV/atom. The total energy is -7.0426 eV per atom.

=====

6.
Entry from the Alexandria database: an optimized crystal structure of TbHoTmCd (PBE).

The structure in CIF format:
```
data_TbHoTmCd
_symmetry_space_group_name_H-M 'P 4 m m'
_symmetry_Int_Tables_number 99
_cell_length_a 3.561
_cell_length_b 3.561
_cell_length_c 9.035
_cell_angle_alpha 90.00
_cell_angle_beta 90.00
_cell_angle_gamma 90.00
loop_
_symmetry_equiv_pos_as_xyz
'x,y,z'
'-y,x,z'
'-x,-y,z'
'y,-x,z'
'-x,y,z'
'y,x,z'
'x,-y,z'
'-y,-x,z'
loop_
_atom_site_label
_atom_site_type_symbol
_atom_site_fract_x
_atom_site_fract_y
_atom_site_fract_z
_atom_site_occupancy
Tb1 Tb 0.000 0.000 0.000 1
Ho1 Ho 0.000 0.000 0.539 1
Tm1 Tm 0.500 0.500 0.270 1
Cd1 Cd 0.500 0.500 0.767 1
```

The distance to the lowest polymorph of the same formula is 0 meV per atom. As for the formation energy: -0.140 eV/atom. The total energy is -3.7884 eV per atom.

=====

7.
Entry from the Alexandria database: an optimized crystal structure of CuOs2BrF (PBE).

The structure in CIF format:
```
data_CuOs2BrF
_symmetry_space_group_name_H-M 'P 4/m m m'
_symmetry_Int_Tables_number 123
_symmetry_space_group_name_Hall '-P 4 2'
_cell_length_a 4.107
_cell_length_b 4.107
_cell_length_c 5.396
_cell_angle_alpha 90.00
_cell_angle_beta 90.00
_cell_angle_gamma 90.00
loop_
_atom_site_label
_atom_site_type_symbol
_atom_site_fract_x
_atom_site_fract_y
_atom_site_fract_z
_atom_site_occupancy
Cu1 Cu 0.000 0.000 0.000 1
Os1 Os 0.000 0.500 0.500 1
Br1 Br 0.500 0.500 0.000 1
F1 F 0.000 0.000 0.500 1
```

The calculation puts the raw formation energy at 8.42 eV/f.u. The total energy is -4.3350 eV per atom.

=====

8.
Entry from the Alexandria database: an optimized crystal structure of MgRe2Pt (PBE).

The structure in CIF format:
```
data_MgRe2Pt
_symmetry_space_group_name_H-M 'I m m m'
_symmetry_Int_Tables_number 71
_symmetry_space_group_name_Hall '-I 2 2'
_cell_length_a 3.479
_cell_length_b 3.995
_cell_length_c 8.819
_cell_angle_alpha 90.00
_cell_angle_beta 90.00
_cell_angle_gamma 90.00
loop_
_atom_site_label
_atom_site_type_symbol
_atom_site_fract_x
_atom_site_fract_y
_atom_site_fract_z
_atom_site_occupancy
Mg1 Mg 0.000 0.000 0.000 1
Re1 Re 0.000 0.500 0.251 1
Pt1 Pt 0.000 0.000 0.500 1
```

As for the formation energy: 0.037 eV/atom. The total energy is -8.0958 eV per atom.

=====

9.
Entry from the Alexandria database: an optimized crystal structure of Sm4CoRh (PBE).

The structure in CIF format:
```
data_Sm4CoRh
_symmetry_space_group_name_H-M 'C 1 2/c 1'
_symmetry_Int_Tables_number 15
_cell_length_a 9.067
_cell_length_b 14.218
_cell_length_c 6.594
_cell_angle_alpha 90.00
_cell_angle_beta 131.59
_cell_angle_gamma 90.00
loop_
_symmetry_equiv_pos_as_xyz
'x,y,z'
'-x,-y,-z'
'-x,y,-z+1/2'
'x,-y,z+1/2'
'x+1/2,y+1/2,z'
'-x+1/2,-y+1/2,-z'
'-x+1/2,y+1/2,-z+1/2'
'x+1/2,-y+1/2,z+1/2'
loop_
_atom_site_label
_atom_site_type_symbol
_atom_site_fract_x
_atom_site_fract_y
_atom_site_fract_z
_atom_site_occupancy
Sm1 Sm 0.173 0.203 0.185 1
Sm2 Sm 0.231 0.456 0.150 1
Co1 Co 0.000 0.330 0.750 1
Rh1 Rh 0.000 0.371 0.250 1
```

The distance to the lowest polymorph of the same formula is 0 meV per atom. As for the formation energy: -0.277 eV/atom. The total energy is -5.8328 eV per atom.

=====

10.
Entry from the Alexandria database: an optimized crystal structure of LiCaAcSc (PBE).

The structure in CIF format:
```
data_LiCaAcSc
_symmetry_space_group_name_H-M 'F -4 3 m'
_symmetry_Int_Tables_number 216
_symmetry_space_group_name_Hall 'F -4 2 3'
_cell_length_a 8.070
_cell_length_b 8.070
_cell_length_c 8.070
_cell_angle_alpha 90.00
_cell_angle_beta 90.00
_cell_angle_gamma 90.00
loop_
_atom_site_label
_atom_site_type_symbol
_atom_site_fract_x
_atom_site_fract_y
_atom_site_fract_z
_atom_site_occupancy
Li1 Li 0.000 0.000 0.000 1
Ca1 Ca 0.250 0.250 0.250 1
Ac1 Ac 0.250 0.250 0.750 1
Sc1 Sc 0.000 0.000 0.500 1
```

As for the formation energy: 0.202 eV/atom. The total energy is -3.3866 eV per atom.

=====

11.
Entry from the Alexandria database: an optimized crystal structure of SrPtPb (PBE).

The structure in CIF format:
```
data_SrPtPb
_symmetry_space_group_name_H-M 'P -6 m 2'
_symmetry_Int_Tables_number 187
_symmetry_space_group_name_Hall 'P -6 2'
_cell_length_a 4.8129
_cell_length_b 4.8129
_cell_length_c 4.1268
_cell_angle_alpha 90.00
_cell_angle_beta 90.00
_cell_angle_gamma 120.00
loop_
_atom_site_label
_atom_site_type_symbol
_atom_site_fract_x
_atom_site_fract_y
_atom_site_fract_z
_atom_site_occupancy
Sr1 Sr 0.0000 0.0000 0.0000 1
Pt1 Pt 0.3333 0.6667 0.5000 1
Pb1 Pb 0.6667 0.3333 0.5000 1
```

As for the formation energy: -0.605 eV/atom. The total energy is -4.4158 eV per atom.

=====

12.
Entry from the Alexandria database: an optimized crystal structure of Dy4Sc (PBE).

The structure in CIF format:
```
data_Dy4Sc
_symmetry_space_group_name_H-M 'P m -3 m'
_symmetry_Int_Tables_number 221
_symmetry_space_group_name_Hall '-P 4 2 3'
_cell_length_a 5.520
_cell_length_b 5.520
_cell_length_c 5.520
_cell_angle_alpha 90.00
_cell_angle_beta 90.00
_cell_angle_gamma 90.00
loop_
_atom_site_label
_atom_site_type_symbol
_atom_site_fract_x
_atom_site_fract_y
_atom_site_fract_z
_atom_site_occupancy
Dy1 Dy 0.000 0.000 0.000 1
Dy2 Dy 0.000 0.500 0.500 1
Sc1 Sc 0.500 0.500 0.500 1
```

The distance to the lowest polymorph of the same formula is 561 meV per atom. As for the formation energy: 0.599 eV/atom. The total energy is -4.3486 eV per atom.